First-principles (PBE) data for a relaxed structure of Rb2BeSiTe4, as listed in the Alexandria database.

extended XYZ file:
```
16
Lattice="0.000 7.434 13.169 3.188 0.000 13.169 3.188 7.434 0.000" Properties=species:S:1:pos:R:3 pbc="T T T"
Rb 2.391 5.575 1.550
Rb 3.985 9.292 8.134
Rb 2.391 5.575 18.204
Rb 3.985 9.292 24.788
Be 0.797 1.858 3.292
Be 5.579 13.009 23.045
Si 2.391 5.575 9.877
Si 3.985 9.292 16.461
Te 2.368 3.224 4.670
Te 4.008 6.941 11.255
Te 2.414 7.927 4.670
Te 2.414 3.224 15.083
Te 3.962 11.644 11.255
Te 3.962 6.941 21.667
Te 2.368 7.927 15.083
Te 4.008 11.644 21.667
```

As for the energy: -3.5183 eV per atom. As for the space-group type: Fddd. The value obtained for the raw formation energy is -0.56 eV per atom.